La5PuAu6 (PBE, relaxed); formation energy from the elements = -719 meV/atom; V = 318.5 Å³ per cell; calculated total energy = -5.61 eV/atom; space group = No. 71
1.0
-2.6638 3.7398 7.9940
2.6638 -3.7398 7.9940
2.6638 3.7398 -7.9940
La Pu Au
5 1 6
Direct
0.0000 0.0000 0.0000 La
0.1701 0.6701 0.5000 La
0.3389 0.3389 0.0000 La
0.6611 0.6611 0.0000 La
0.8299 0.3299 0.5000 La
0.5000 0.0000 0.5000 Pu
0.0862 0.8353 0.2509 Au
0.2456 0.5000 0.7456 Au
0.4156 0.1647 0.2509 Au
0.5844 0.8353 0.7491 Au
0.7544 0.5000 0.2544 Au
0.9138 0.1647 0.7491 Au



LaPuAu4 (PBE, relaxed); E above lowest polymorph = 0.000 eV per atom; formation energy from the elements = -638 meV/atom; V = 140.3 Å³ per cell; calculated total energy = -6.03 eV/atom; space group = No. 12
1.0
2.4043 -4.1688 0.0000
2.4043 4.1688 0.0000
-0.0113 0.0000 6.9996
La Pu Au
1 1 4
Direct
0.0000 0.0000 0.0000 La
0.0000 0.0000 0.5000 Pu
0.3334 0.6667 0.2647 Au
0.3333 0.6666 0.7353 Au
0.6667 0.3334 0.2647 Au
0.6666 0.3333 0.7353 Au



LaPuRhAu (PBE, relaxed); formation energy from the elements = -515 meV/atom; V = 94.6 Å³ per cell; calculated total energy = -7.99 eV/atom; space group = No. 216
1.0
0.0000 3.6167 3.6167
3.6167 0.0000 3.6167
3.6167 3.6167 0.0000
La Pu Rh Au
1 1 1 1
Direct
0.0000 0.0000 0.0000 La
0.5000 0.5000 0.5000 Pu
0.7500 0.7500 0.7500 Rh
0.2500 0.2500 0.2500 Au



LaPu2Sn2Au2 (PBE, relaxed); formation energy from the elements = -514 meV/atom; V = 178.8 Å³ per cell; calculated total energy = -7.39 eV/atom; space group = No. 166
1.0
2.3933 1.3818 9.0094
-2.3933 1.3818 9.0094
0.0000 -2.7635 9.0094
La Pu Sn Au
1 2 2 2
Direct
0.0000 0.0000 0.0000 La
0.1431 0.1431 0.1431 Pu
0.8569 0.8569 0.8569 Pu
0.2641 0.2641 0.2641 Sn
0.7359 0.7359 0.7359 Sn
0.4331 0.4331 0.4331 Au
0.5669 0.5669 0.5669 Au



LaPuZnAu (PBE, relaxed); formation energy from the elements = -335 meV/atom; V = 101.7 Å³ per cell; calculated total energy = -6.29 eV/atom; space group = No. 216
1.0
0.0000 3.7051 3.7051
3.7051 0.0000 3.7051
3.7051 3.7051 0.0000
La Pu Zn Au
1 1 1 1
Direct
0.0000 0.0000 0.0000 La
0.5000 0.5000 0.5000 Pu
0.7500 0.7500 0.7500 Zn
0.2500 0.2500 0.2500 Au



RbLaAu3 (PBE, relaxed); E above lowest polymorph = 0.761 eV per atom; formation energy from the elements = 549 meV/atom; V = 179.2 Å³ per cell; calculated total energy = -2.60 eV/atom; space group = No. 221
1.0
5.6381 0.0000 0.0000
0.0000 5.6381 0.0000
0.0000 0.0000 5.6381
Rb La Au
1 1 3
Direct
0.0000 0.0000 0.0000 Rb
0.5000 0.5000 0.5000 La
0.0000 0.0000 0.5000 Au
0.0000 0.5000 0.0000 Au
0.5000 0.0000 0.0000 Au



Rb2LaAu2 (PBE, relaxed); formation energy from the elements = -179 meV/atom; V = 364.6 Å³ per cell; calculated total energy = -2.86 eV/atom; space group = No. 127
1.0
7.8951 0.0000 0.0000
0.0000 7.8951 0.0000
0.0000 0.0000 5.8486
Rb La Au
4 2 4
Direct
0.1652 0.3348 0.0000 Rb
0.3348 0.8348 0.0000 Rb
0.6652 0.1652 0.0000 Rb
0.8348 0.6652 0.0000 Rb
0.0000 0.0000 0.5000 La
0.5000 0.5000 0.5000 La
0.1278 0.6278 0.5000 Au
0.3722 0.1278 0.5000 Au
0.6278 0.8722 0.5000 Au
0.8722 0.3722 0.5000 Au



Rb2LaAu (PBE, relaxed); E above lowest polymorph = 0.000 eV per atom; formation energy from the elements = 187 meV/atom; V = 443.3 Å³ per cell; calculated total energy = -2.35 eV/atom; space group = No. 122
1.0
-6.2315 6.2315 2.8538
6.2315 -6.2315 2.8538
6.2315 6.2315 -2.8538
Rb La Au
4 2 2
Direct
0.9997 0.6250 0.8747 Rb
0.3750 0.2497 0.3747 Rb
0.7503 0.1250 0.1253 Rb
0.8750 0.0003 0.6253 Rb
0.2500 0.7500 0.5000 La
0.5000 0.5000 0.0000 La
0.0000 0.0000 0.0000 Au
0.7500 0.2500 0.5000 Au



RbLaAu3 (PBE, relaxed); E above lowest polymorph = 0.000 eV per atom; formation energy from the elements = -211 meV/atom; V = 192.7 Å³ per cell; calculated total energy = -3.36 eV/atom; space group = No. 221
1.0
5.7759 0.0000 0.0000
0.0000 5.7759 0.0000
0.0000 0.0000 5.7759
Rb La Au
1 1 3
Direct
0.0000 0.0000 0.0000 Rb
0.5000 0.5000 0.5000 La
0.0000 0.5000 0.5000 Au
0.5000 0.0000 0.5000 Au
0.5000 0.5000 0.0000 Au



Rb2LaAu (PBE, relaxed); E above lowest polymorph = 0.413 eV per atom; formation energy from the elements = 600 meV/atom; V = 141.2 Å³ per cell; calculated total energy = -1.93 eV/atom; space group = No. 225
1.0
0.0000 4.1331 4.1331
4.1331 0.0000 4.1331
4.1331 4.1331 0.0000
Rb La Au
2 1 1
Direct
0.2500 0.2500 0.2500 Rb
0.7500 0.7500 0.7500 Rb
0.0000 0.0000 0.0000 La
0.5000 0.5000 0.5000 Au



Rb3LaAu (PBE, relaxed); formation energy from the elements = 912 meV/atom; V = 381.0 Å³ per cell; calculated total energy = -1.31 eV/atom; space group = No. 221
1.0
7.2494 0.0000 0.0000
0.0000 7.2494 0.0000
0.0000 0.0000 7.2494
Rb La Au
3 1 1
Direct
0.0000 0.0000 0.5000 Rb
0.0000 0.5000 0.0000 Rb
0.5000 0.0000 0.0000 Rb
0.0000 0.0000 0.0000 La
0.5000 0.5000 0.5000 Au



RbLaAu10 (PBE, relaxed); formation energy from the elements = -310 meV/atom; V = 267.6 Å³ per cell; calculated total energy = -3.53 eV/atom; space group = No. 47
1.0
4.6432 0.0000 0.0000
0.0000 5.7474 0.0000
0.0000 0.0000 10.0270
Rb La Au
1 1 10
Direct
0.0000 0.0000 0.0000 Rb
0.0000 0.5000 0.5000 La
0.0000 0.0000 0.3394 Au
0.0000 0.0000 0.6606 Au
0.0000 0.5000 0.1769 Au
0.0000 0.5000 0.8231 Au
0.5000 0.0000 0.5000 Au
0.5000 0.2566 0.2599 Au
0.5000 0.2566 0.7401 Au
0.5000 0.5000 0.0000 Au
0.5000 0.7434 0.2599 Au
0.5000 0.7434 0.7401 Au